[1]
A plane-wave DFT calculation with PBE-GGA was carried out for Al2Ga2Tc after structural relaxation.

Cell: 6.548 6.548 6.548 Å, 147.83 147.83 46.14°
Element x y z (fractional)
Al: 0.250 0.750 0.500
Al: 0.750 0.250 0.500
Ga: 0.098 0.098 0.000
Ga: 0.902 0.902 0.000
Tc: 0.500 0.500 0.000



[2]
A plane-wave DFT calculation with PBE-GGA was carried out for AlZnGaTe4 after structural relaxation.

Cell: 7.376 7.376 7.376 Å, 131.55 131.55 70.93°
Element x y z (fractional)
Al: 0.000 0.000 0.000
Zn: 0.500 0.500 0.000
Ga: 0.250 0.750 0.500
Te: 0.099 0.131 0.495
Te: 0.396 0.901 0.032
Te: 0.636 0.604 0.505
Te: 0.869 0.364 0.968



[3]
A plane-wave DFT calculation with PBE-GGA was carried out for ThAlGa after structural relaxation.

Cell: 4.317 4.317 4.233 Å, 90.00 90.00 120.00°
Element x y z (fractional)
Th: 0.000 0.000 0.000
Al: 0.333 0.667 0.500
Ga: 0.667 0.333 0.500



[4]
A plane-wave DFT calculation with PBE-GGA was carried out for TmAlGa after structural relaxation.

Cell: 4.525 4.525 4.525 Å, 60.00 60.00 60.00°
Element x y z (fractional)
Tm: 0.000 0.000 0.000
Al: 0.500 0.500 0.500
Ga: 0.750 0.750 0.750



no.,total energy (Ha/atom)
1,-0.16070
2,-0.12369
3,-0.19466
4,-0.14938